Entry from Alexandria via LeMat-Bulk: crystalline Ni2Mo6C at its relaxed geometry (GGA-PBE).

Geometry as extended XYZ:
```
18
Lattice="5.1920 0.0000 0.0000 0.0000 6.1195 0.0000 -5.0462 0.0000 7.9000" Properties=species:S:1:pos:R:3 pbc="T T T"
Ni -0.2230 0.6419 1.9978
Ni -2.7461 2.4179 5.9478
Ni 2.8918 3.7016 1.9522
Ni 0.3688 5.4776 5.9023
Mo -4.2560 1.1463 7.5103
Mo -1.7329 1.9134 3.5602
Mo -3.2990 4.2407 7.5410
Mo -0.7760 4.9386 3.5910
Mo -2.0202 0.0056 5.8207
Mo 0.5029 3.0541 1.8707
Mo -0.3571 3.0654 6.0293
Mo 2.1660 6.1139 2.0793
Mo 0.9217 1.1809 4.3090
Mo 3.4448 1.8788 0.3590
Mo 1.8787 4.2061 4.3398
Mo 4.4018 4.9732 0.3898
C 2.5960 0.0000 0.0000
C 0.0729 3.0597 3.9500
```

Results
- Energy relative to the elements: 0.1429 eV per atom
- Spin magnetization: 0.0 μB per cell
- Total DFT energy (no corrections): -9.39 eV per atom

***

Entry from Alexandria via LeMat-Bulk: crystalline Ni2MoC2 at its relaxed geometry (GGA-PBE).

Geometry as extended XYZ:
```
10
Lattice="6.2674 0.0000 0.0000 0.0000 6.2674 0.0000 0.0000 0.0000 2.5370" Properties=species:S:1:pos:R:3 pbc="T T T"
Ni 0.8171 2.3167 0.0000
Ni 2.3167 5.4504 0.0000
Ni 3.9508 0.8171 0.0000
Ni 5.4504 3.9508 0.0000
Mo 0.0000 0.0000 0.0000
Mo 3.1337 3.1337 0.0000
C 1.2641 4.3979 1.2685
C 1.8696 1.2641 1.2685
C 4.3979 5.0033 1.2685
C 5.0033 1.8696 1.2685
```

Results
- Energy relative to the elements: 1.2455 eV per atom
- Spin magnetization: 0.0 μB per cell
- Total DFT energy (no corrections): -6.92 eV per atom
- ΔE to the lowest computed polymorph: 405.7 meV/atom

***

Entry from Alexandria via LeMat-Bulk: crystalline NiMoC2 at its relaxed geometry (GGA-PBE).

Geometry as extended XYZ:
```
16
Lattice="4.5729 0.0000 0.0000 0.0000 4.5729 0.0000 0.0000 0.0000 8.9084" Properties=species:S:1:pos:R:3 pbc="T T T"
Ni 0.0000 0.0000 0.0000
Ni 0.0000 2.2865 2.2271
Ni 2.2865 0.0000 6.6813
Ni 2.2865 2.2865 4.4542
Mo 0.0000 0.0000 4.4542
Mo 0.0000 2.2865 6.6813
Mo 2.2865 0.0000 2.2271
Mo 2.2865 2.2865 0.0000
C 1.0893 1.1432 1.1135
C 1.1432 3.3757 3.3406
C 1.1432 3.4836 7.7948
C 1.1972 1.1432 5.5677
C 3.3757 3.4297 5.5677
C 3.4297 1.0893 7.7948
C 3.4297 1.1972 3.3406
C 3.4836 3.4297 1.1135
```

Results
- Energy relative to the elements: 0.6454 eV per atom
- Spin magnetization: 0.0 μB per cell
- Total DFT energy (no corrections): -8.12 eV per atom
- ΔE to the lowest computed polymorph: 0.0 meV/atom

***

Entry from Alexandria via LeMat-Bulk: crystalline NiMo2C at its relaxed geometry (GGA-PBE).

Geometry as extended XYZ:
```
12
Lattice="3.0295 0.0000 0.0000 -1.5148 2.6237 0.0000 0.0000 0.0000 19.1968" Properties=species:S:1:pos:R:3 pbc="T T T"
Ni 0.0000 0.0000 0.0000
Ni 0.0000 1.7491 12.7979
Ni 1.5148 0.8746 6.3989
Mo 0.0000 0.0000 4.3614
Mo 0.0000 0.0000 14.8354
Mo 0.0000 1.7491 8.4365
Mo 0.0000 1.7491 17.1592
Mo 1.5148 0.8746 2.0376
Mo 1.5148 0.8746 10.7603
C 0.0000 0.0000 9.5984
C 0.0000 1.7491 3.1995
C 1.5148 0.8746 15.9973
```

Results
- Energy relative to the elements: 0.1348 eV per atom
- Spin magnetization: 0.0 μB per cell
- Total DFT energy (no corrections): -9.03 eV per atom

***

What is the formula in the first record? Ni2Mo6C